Crystalline Sr2Sc2Pd at its relaxed geometry, computed with PBE.

abc: 7.1372 7.1372 5.9765
angles: 90.00 90.00 90.00
With the nearest neighbours (Å) after each atom.
Fractional coordinates of all 10 atoms:
Sc: 0.3421 0.8421 0.0000  2 Pd 2.69
Sc: 0.8421 0.6579 0.0000  2 Pd 2.69
Sc: 0.6579 0.1579 0.0000  2 Pd 2.69
Sc: 0.1579 0.3421 0.0000  2 Pd 2.69
Sr: 0.1802 0.6802 0.5000  2 Sc 3.41, 5 Sr 3.64-3.70
Sr: 0.6802 0.8198 0.5000  2 Sc 3.41, 5 Sr 3.64-3.70
Sr: 0.8198 0.3198 0.5000  2 Sc 3.41, 5 Sr 3.64-3.70
Sr: 0.3198 0.1802 0.5000  2 Sc 3.41, 5 Sr 3.64-3.70
Pd: 0.0000 0.0000 0.0000  4 Sc 2.69
Pd: 0.5000 0.5000 0.0000  4 Sc 2.69

Results
Calculated formation energy   -0.029 eV/atom
D(E_F)   11.1 states/eV/cell
Space-group type   P4/mbm
Calculated volume   30.4 Å³/atom
E above lowest polymorph   0.0 kJ/mol of atoms

***

Crystalline CeCoNi4 at its relaxed geometry, computed with PBE.

abc: 3.7918 6.1182 7.0633
angles: 90.00 90.00 90.00
With the nearest neighbours (Å) after each atom.
Fractional coordinates of all 12 atoms:
Ce: 0.0000 0.6226 0.7500  1 Co 2.27
Ce: 0.0000 0.3774 0.2500  1 Co 2.27
Co: 0.0000 0.2518 0.7500  1 Ce 2.27, 6 Ni 2.34-2.41
Co: 0.0000 0.7482 0.2500  1 Ce 2.27, 6 Ni 2.34-2.41
Ni: 0.0000 0.0000 0.5000  2 Co 2.34, 8 Ni 2.58-2.60
Ni: 0.0000 0.0000 0.0000  2 Co 2.34, 8 Ni 2.58-2.60
Ni: 0.5000 0.9670 0.7500  8 Ni 2.44-2.60, 2 Co 2.58
Ni: 0.5000 0.0330 0.2500  8 Ni 2.44-2.60, 2 Co 2.58
Ni: 0.5000 0.7168 0.0404  2 Co 2.41, 4 Ni 2.44-2.58
Ni: 0.5000 0.2832 0.9596  2 Co 2.41, 4 Ni 2.44-2.58
Ni: 0.5000 0.7168 0.4596  2 Co 2.41, 4 Ni 2.44-2.58
Ni: 0.5000 0.2832 0.5404  2 Co 2.41, 4 Ni 2.44-2.58

Results
Calculated formation energy   -0.130 eV/atom
D(E_F)   16.8 states/eV/cell
Space-group type   Pmma
Calculated volume   13.7 Å³/atom

***

Crystalline Na3Cd4Pb4 at its relaxed geometry, computed with PBE.

abc: 4.8051 8.3406 9.6891
angles: 115.49 104.36 90.00
With the nearest neighbours (Å) after each atom.
Fractional coordinates of all 11 atoms:
Na: 0.1254 0.1254 0.2508  6 Pb 3.49-3.88, 6 Cd 3.51-3.66
Na: 0.8746 0.8746 0.7492  6 Pb 3.49-3.88, 6 Cd 3.51-3.66
Na: 0.0000 0.5000 0.0000  6 Cd 3.54-3.63
Cd: 0.2105 0.7105 0.4209  6 Pb 3.05-3.15
Cd: 0.7895 0.2895 0.5791  6 Pb 3.05-3.15
Cd: 0.5000 0.8266 0.0000  1 Cd 2.89, 2 Pb 3.00
Cd: 0.5000 0.1734 0.0000  1 Cd 2.89, 2 Pb 3.00
Pb: 0.3309 0.1207 0.6619  4 Cd 3.00-3.15
Pb: 0.6691 0.4588 0.3381  4 Cd 3.00-3.15
Pb: 0.6691 0.8793 0.3381  4 Cd 3.00-3.15
Pb: 0.3309 0.5412 0.6619  4 Cd 3.00-3.15

Results
Calculated formation energy   -0.022 eV/atom
D(E_F)   6.1 states/eV/cell
Space-group type   Immm
Calculated volume   30.6 Å³/atom
E above lowest polymorph   4.0 kJ/mol of atoms